## Tm2Cu4Se5 (PBE)

Data for a relaxed Tm2Cu4Se5 crystal.

Calculated values
- Formation energy (no corrections): -73 kJ per mole of atoms
- Calculated total energy: -153.081 eV for the cell shown
- Total magnetic moment: 0.0000 μB per atom

Geometry as CIF:
```
data_Tm2Cu4Se5
_symmetry_space_group_name_H-M 'R -3 m'
_symmetry_Int_Tables_number 166
_symmetry_space_group_name_Hall '-R 3 2"'
_cell_length_a 3.9934
_cell_length_b 3.9934
_cell_length_c 49.6286
_cell_angle_alpha 90.00
_cell_angle_beta 90.00
_cell_angle_gamma 120.00
loop_
_atom_site_label
_atom_site_fract_x
_atom_site_fract_y
_atom_site_fract_z
Tm1 0.0000 0.0000 0.1328
Cu1 0.0000 0.0000 0.3139
Cu2 0.0000 0.0000 0.4148
Se1 0.0000 0.0000 0.2342
Se2 0.0000 0.0000 0.3666
Se3 0.0000 0.0000 0.5000
```